A plane-wave DFT calculation with PBE was carried out for a relaxed structure of CsZnN2.

Unit cell a=7.3574 b=7.3574 c=7.3574 alpha=27.72 beta=27.72 gamma=27.72
Sites, in units of the cell vectors:
Cs 0.0000 0.0000 0.0000
Zn 0.5000 0.5000 0.5000
N 0.1279 0.1279 0.1279
N 0.8721 0.8721 0.8721

Summary:
- Magnetic moment: 2.8 μB/f.u.
- Energy above the lowest structure with this stoichiometry: 0.394 eV/atom
- ΔE_f (raw): 530.2 kJ/mol of formula units
- Uncorrected energy: -13.3 eV per formula unit